# 1
The following is a PBE calculation of a relaxed structure of K2Er2HfTe6, from Alexandria.

Properties
- Theoretical density: 5.5 g cm⁻³
- Electronic total energy: -4.866 eV/atom

CIF file:
```
data_K2Er2HfTe6
_symmetry_space_group_name_H-M 'P 1'
_symmetry_Int_Tables_number 1
_cell_length_a 7.457
_cell_length_b 7.457
_cell_length_c 8.840
_cell_angle_alpha 98.45
_cell_angle_beta 98.45
_cell_angle_gamma 119.75
loop_
_symmetry_equiv_pos_as_xyz
'x,y,z'
loop_
_atom_site_label
_atom_site_type_symbol
_atom_site_fract_x
_atom_site_fract_y
_atom_site_fract_z
K1 K 0.171 0.829 0.000
K2 K 0.829 0.171 0.000
Er1 Er 0.332 0.668 0.500
Er2 Er 0.668 0.332 0.500
Hf1 Hf 0.000 0.000 0.500
Te1 Te 0.073 0.390 0.703
Te2 Te 0.250 0.250 0.299
Te3 Te 0.390 0.073 0.703
Te4 Te 0.610 0.927 0.297
Te5 Te 0.750 0.750 0.701
Te6 Te 0.927 0.610 0.297
```

# 2
The following is a PBE calculation of a relaxed structure of K2ErHf2Te6, from Alexandria.

Properties
- Theoretical density: 5.8 g cm⁻³
- Electronic total energy: -5.192 eV/atom

CIF file:
```
data_K2ErHf2Te6
_symmetry_space_group_name_H-M 'P 1'
_symmetry_Int_Tables_number 1
_cell_length_a 7.254
_cell_length_b 7.254
_cell_length_c 8.858
_cell_angle_alpha 97.55
_cell_angle_beta 97.55
_cell_angle_gamma 120.22
loop_
_symmetry_equiv_pos_as_xyz
'x,y,z'
loop_
_atom_site_label
_atom_site_type_symbol
_atom_site_fract_x
_atom_site_fract_y
_atom_site_fract_z
K1 K 0.162 0.838 0.000
K2 K 0.838 0.162 0.000
Er1 Er 0.000 0.000 0.500
Hf1 Hf 0.332 0.668 0.500
Hf2 Hf 0.668 0.332 0.500
Te1 Te 0.067 0.411 0.702
Te2 Te 0.285 0.285 0.299
Te3 Te 0.411 0.067 0.702
Te4 Te 0.589 0.933 0.298
Te5 Te 0.715 0.715 0.701
Te6 Te 0.933 0.589 0.298
```

# 3
The following is a PBE calculation of a relaxed structure of LaEr2Hf, from Alexandria.

Properties
- Energy relative to the lowest polymorph listed for this composition: 45 meV/atom
- Calculated formation energy: 3.73 kcal/mol of atoms
- Theoretical density: 9.3 g cm⁻³
- Electronic total energy: -5.840 eV/atom

CIF file:
```
data_LaEr2Hf
_symmetry_space_group_name_H-M 'P 1'
_symmetry_Int_Tables_number 1
_cell_length_a 4.858
_cell_length_b 4.858
_cell_length_c 4.935
_cell_angle_alpha 90.00
_cell_angle_beta 90.00
_cell_angle_gamma 90.00
loop_
_symmetry_equiv_pos_as_xyz
'x,y,z'
loop_
_atom_site_label
_atom_site_type_symbol
_atom_site_fract_x
_atom_site_fract_y
_atom_site_fract_z
La1 La 0.000 0.000 0.000
Er1 Er 0.000 0.500 0.500
Er2 Er 0.500 0.000 0.500
Hf1 Hf 0.500 0.500 0.000
```

# 4
The following is a PBE calculation of a relaxed structure of LaErHf, from Alexandria.

Properties
- Energy relative to the lowest polymorph listed for this composition: 19 meV/atom
- Calculated formation energy: 3.75 kcal/mol of atoms
- Theoretical density: 9.3 g cm⁻³
- Electronic total energy: -6.319 eV/atom

CIF file:
```
data_LaErHf
_symmetry_space_group_name_H-M 'P 1'
_symmetry_Int_Tables_number 1
_cell_length_a 3.426
_cell_length_b 3.426
_cell_length_c 8.502
_cell_angle_alpha 90.00
_cell_angle_beta 90.00
_cell_angle_gamma 120.00
loop_
_symmetry_equiv_pos_as_xyz
'x,y,z'
loop_
_atom_site_label
_atom_site_type_symbol
_atom_site_fract_x
_atom_site_fract_y
_atom_site_fract_z
La1 La 0.000 0.000 0.000
Er1 Er 0.333 0.667 0.623
Hf1 Hf 0.667 0.333 0.320
```